No. 1
Here is a relaxed VGaPt2 crystal from Alexandria. Energies are from PBE.

Space group: No. 123
Formation enthalpy at 0 K (eV per formula unit): -2.1
Theoretical density (g/cm3): 14.36
Calculated volume (Å³ per cell): 59.1

Cell: 2.783 2.783 7.626 Å, 90.00 90.00 90.00°
Last column: magnetic moment on the atom in μB.
Atoms (fractional coordinates):
Ga 0.500 0.500 0.000  0.01
Pt 0.000 0.000 0.746  0.02
Pt 0.000 0.000 0.254  0.02
V 0.500 0.500 0.500  0.29



No. 2
Here is a relaxed SiHgTeN2 crystal from Alexandria. Energies are from PBE.

Space group: No. 123
ΔE to the lowest computed polymorph (meV/atom): 0.0
Theoretical density (g/cm3): 7.57
Raw formation energy (eV per atom): 0.885
Calculated volume (Å³ per cell): 84.3

Cell: 3.776 3.776 5.912 Å, 90.00 90.00 90.00°
Atoms (fractional coordinates):
Si 0.000 0.000 0.000
Te 0.000 0.000 0.500
Hg 0.500 0.500 0.500
N 0.000 0.500 0.000
N 0.500 0.000 0.000



No. 3
Here is a relaxed BeZn2 crystal from Alexandria. Energies are from PBE.

Space group: No. 194
Formation enthalpy at 0 K (eV per formula unit): 1.3
Theoretical density (g/cm3): 5.58
Calculated volume (Å³ per cell): 166.4

Cell: 4.868 4.868 8.112 Å, 90.00 90.00 120.00°
Atoms (fractional coordinates):
Be 0.333 0.667 0.031
Be 0.667 0.333 0.531
Be 0.667 0.333 0.969
Be 0.333 0.667 0.469
Zn 0.000 0.000 0.000
Zn 0.000 0.000 0.500
Zn 0.830 0.660 0.250
Zn 0.170 0.340 0.750
Zn 0.340 0.170 0.250
Zn 0.830 0.170 0.250
Zn 0.170 0.830 0.750
Zn 0.660 0.830 0.750



No. 4
Here is a relaxed NiRuSe crystal from Alexandria. Energies are from PBE.

Space group: No. 107
ΔE to the lowest computed polymorph (meV/atom): 88.9
Theoretical density (g/cm3): 9.58
Raw formation energy (eV per atom): 0.241
Calculated volume (Å³ per cell): 41.4

Cell: 4.967 4.967 4.967 Å, 144.36 144.36 51.30°
Atoms (fractional coordinates):
Ni 0.012 0.012 0.000
Ru 0.324 0.324 0.000
Se 0.664 0.664 0.000



No. 5
Here is a relaxed BP3 crystal from Alexandria. Energies are from PBE.

Space group: No. 1
Formation enthalpy at 0 K (eV per formula unit): 0.5
ΔE to the lowest computed polymorph (meV/atom): 121.0
Theoretical density (g/cm3): 2.88
Calculated volume (Å³ per cell): 59.9

Cell: 3.268 4.305 4.588 Å, 74.48 78.05 77.14°
Atoms (fractional coordinates):
P 0.192 0.691 0.787
P 0.682 0.318 0.442
P 0.318 0.217 0.125
B 0.612 0.946 0.809



No. 6
Here is a relaxed Li2Ge2O5 crystal from Alexandria. Energies are from PBE.

Space group: No. 37
Theoretical density (g/cm3): 3.37
Raw formation energy (eV per atom): -1.857
Calculated volume (Å³ per cell): 235.9

Cell: 8.302 8.302 5.044 Å, 90.00 90.00 137.26°
Atoms (fractional coordinates):
Li 0.095 0.207 0.606
Li 0.207 0.095 0.106
Li 0.793 0.905 0.106
Li 0.905 0.793 0.606
Ge 0.194 0.486 0.099
Ge 0.806 0.514 0.099
Ge 0.514 0.806 0.599
Ge 0.486 0.194 0.599
O 0.772 0.906 0.493
O 0.906 0.772 0.993
O 0.500 0.000 0.506
O 0.228 0.094 0.493
O 0.000 0.500 0.006
O 0.523 0.254 0.950
O 0.254 0.523 0.450
O 0.746 0.477 0.450
O 0.477 0.746 0.950
O 0.094 0.228 0.993



No. 7
Here is a relaxed GdDyMgIn crystal from Alexandria. Energies are from PBE.

Space group: No. 216
Formation enthalpy at 0 K (eV per formula unit): -1.3
Theoretical density (g/cm3): 7.09
Calculated volume (Å³ per cell): 107.4

Cell: 5.336 5.336 5.336 Å, 60.00 60.00 60.00°
Last column: magnetic moment on the atom in μB.
Atoms (fractional coordinates):
Mg 0.500 0.500 0.500  0.00
Gd 0.250 0.250 0.250  7.16
In 0.000 0.000 0.000  -0.03
Dy 0.750 0.750 0.750  0.10



No. 8
Here is a relaxed CaBe2Ir crystal from Alexandria. Energies are from PBE.

Space group: No. 141
Formation enthalpy at 0 K (eV per formula unit): -0.4
ΔE to the lowest computed polymorph (meV/atom): 273.5
Theoretical density (g/cm3): 5.68
Calculated volume (Å³ per cell): 146.3

Cell: 4.372 4.372 8.257 Å, 74.65 74.65 90.00°
Atoms (fractional coordinates):
Be 0.875 0.125 0.250
Be 0.875 0.625 0.250
Be 0.375 0.125 0.750
Be 0.875 0.125 0.750
Ca 0.500 0.500 0.000
Ca 0.250 0.750 0.500
Ir 0.000 0.000 0.000
Ir 0.750 0.250 0.500



No. 9
Here is a relaxed Tb6Tl5Hg crystal from Alexandria. Energies are from PBE.

Space group: No. 65
Formation enthalpy at 0 K (eV per formula unit): -4.5
ΔE to the lowest computed polymorph (meV/atom): 0.0
Theoretical density (g/cm3): 11.00
Calculated volume (Å³ per cell): 328.4

Cell: 5.392 7.526 8.530 Å, 90.00 71.57 90.00°
Atoms (fractional coordinates):
Tl 0.667 0.500 0.665
Tl 0.335 0.000 0.330
Tl 0.000 0.500 0.000
Tl 0.665 0.000 0.670
Tl 0.333 0.500 0.335
Tb 0.835 0.752 0.331
Tb 0.835 0.248 0.331
Tb 0.500 0.247 0.000
Tb 0.500 0.753 0.000
Tb 0.165 0.752 0.669
Tb 0.165 0.248 0.669
Hg 0.000 0.000 0.000



No. 10
Here is a relaxed TlPtBr2 crystal from Alexandria. Energies are from PBE.

Space group: No. 166
ΔE to the lowest computed polymorph (meV/atom): 202.5
Theoretical density (g/cm3): 8.39
Raw formation energy (eV per atom): 0.001
Calculated volume (Å³ per cell): 110.7

Cell: 7.308 7.308 7.308 Å, 34.32 34.32 34.32°
Last column: magnetic moment on the atom in μB.
Atoms (fractional coordinates):
Tl 0.750 0.750 0.750  0.01
Br 0.977 0.977 0.977  0.12
Br 0.523 0.523 0.523  0.12
Pt 0.250 0.250 0.250  0.58



No. 11
Here is a relaxed RePd3Cl crystal from Alexandria. Energies are from PBE.

Space group: No. 221
ΔE to the lowest computed polymorph (meV/atom): 67.3
Theoretical density (g/cm3): 9.74
Raw formation energy (eV per atom): 1.219
Calculated volume (Å³ per cell): 92.2

Cell: 4.518 4.518 4.518 Å, 90.00 90.00 90.00°
Last column: magnetic moment on the atom in μB.
Atoms (fractional coordinates):
Re 0.500 0.500 0.500  3.17
Pd 0.000 0.500 0.000  0.09
Pd 0.000 0.000 0.500  0.08
Pd 0.500 0.000 0.000  0.17
Cl 0.000 0.000 0.000  0.02



No. 12
Here is a relaxed Tb2ScAlN crystal from Alexandria. Energies are from PBE.

Space group: No. 123
Theoretical density (g/cm3): 6.52
Raw formation energy (eV per atom): -0.943
Calculated volume (Å³ per cell): 102.8

Cell: 4.442 4.811 4.811 Å, 90.00 90.00 90.00°
Atoms (fractional coordinates):
Tb 0.000 0.000 0.500
Tb 0.000 0.500 0.000
Sc 0.500 0.000 0.000
Al 0.500 0.500 0.500
N 0.000 0.000 0.000